A relaxed BaLiOs2 crystal, computed with GGA-PBE.

Unit cell a=3.784 b=2.926 c=8.335 alpha=69.72 beta=90.00 gamma=90.00
Atoms (fractional coordinates):
Os (0.000, 0.962, 0.037)
Ba (0.000, 0.528, 0.475)
Li (0.500, 0.668, 0.830)
Os (0.500, 0.342, 0.158)

Values from the calculation:
* E_form: 2.094 eV per formula unit
* energy above the lowest structure with this stoichiometry: 287 meV per atom
* density: 10.07 g/cm3
* raw total energy: -6.05 eV/atom
* space-group type: Pm (6)